## a
YZr2Si: optimized geometry, PBE.

Results
DOS(E_F) ... 3.96 states/eV/f.u.
Calculated density ... 5.53 g cm⁻³
Magnetization ... 0.00 μB/cell

Unit cell a=11.139 b=3.222 c=5.259 alpha=90.00 beta=107.56 gamma=90.00
Space group C2/m (No. 12)
Symmetry-distinct sites (fractional):
Y (0.000, 0.000, 0.000) x2
Zr (0.216, 0.000, 0.713) x4
Si (0.000, 0.500, 0.500) x2



## b
YZr2Si: optimized geometry, PBE.

Results
DOS(E_F) ... 3.82 states/eV/f.u.
Calculated density ... 5.46 g cm⁻³
Magnetization ... 0.00 μB/cell

Unit cell a=3.336 b=4.903 c=5.701 alpha=90.00 beta=102.46 gamma=90.00
Space group P2/m (No. 10)
Symmetry-distinct sites (fractional):
Y (0.000, 0.000, 0.000) x1
Zr (0.348, 0.500, 0.725) x2
Si (0.500, 0.000, 0.500) x1



## c
YZr2Si: optimized geometry, PBE.

Results
DOS(E_F) ... 4.43 states/eV/f.u.
Calculated density ... 5.47 g cm⁻³
Magnetization ... 0.00 μB/cell

Unit cell a=4.575 b=4.601 c=8.644 alpha=90.00 beta=90.00 gamma=90.00
Space group Cmm2 (No. 35)
Symmetry-distinct sites (fractional):
Y (0.000, 0.000, 0.000) x2
Zr (0.000, 0.000, 0.571) x2
Zr (0.000, 0.500, 0.315) x2
Si (0.000, 0.500, 0.775) x2



## d
YZr2Si: optimized geometry, PBE.

Results
DOS(E_F) ... 6.64 states/eV/f.u.
Calculated density ... 5.53 g cm⁻³
Magnetization ... 0.00 μB/cell

Unit cell a=3.142 b=3.142 c=9.111 alpha=90.00 beta=90.00 gamma=90.00
Space group P4/mmm (No. 123)
Symmetry-distinct sites (fractional):
Y (0.000, 0.000, 0.000) x1
Zr (0.500, 0.500, 0.303) x2
Si (0.000, 0.000, 0.500) x1



Which structure loses on stability? b does.